The following is a DFT calculation (PBE-GGA) of crystalline Tl8Hg3 at its relaxed geometry.

POSCAR file:
```
Tl8Hg3
1.0
-0.006 2.677 -3.858
-5.596 -0.680 2.394
4.956 9.519 6.597
Tl Hg
8 3
Direct
0.369 0.737 0.543 Tl
0.817 0.634 0.724 Tl
0.546 0.093 0.817 Tl
0.183 0.366 0.276 Tl
0.723 0.446 0.089 Tl
0.454 0.907 0.183 Tl
0.277 0.554 0.911 Tl
0.631 0.263 0.457 Tl
0.094 0.187 0.638 Hg
0.906 0.813 0.362 Hg
0.000 0.000 0.000 Hg
```

Relative energy among the computed polymorphs = 0.000 eV per atom
Energy of formation = 0.014 eV/atom


The following is a DFT calculation (PBE-GGA) of crystalline TlHg at its relaxed geometry.

POSCAR file:
```
TlHg
1.0
6.260 -0.095 -0.250
2.813 5.593 0.250
-4.094 -3.479 3.224
Hg Tl
2 2
Direct
0.618 0.368 0.750 Hg
0.382 0.632 0.250 Hg
0.869 0.119 0.250 Tl
0.131 0.881 0.750 Tl
```

Energy of formation = -0.014 eV/atom


The following is a DFT calculation (PBE-GGA) of crystalline TlHg at its relaxed geometry.

POSCAR file:
```
TlHg
1.0
-3.806 -0.844 1.089
1.196 -0.436 3.842
-1.201 6.909 1.158
Tl Hg
2 2
Direct
0.500 0.500 0.765 Tl
0.000 0.000 0.485 Tl
0.500 0.500 0.241 Hg
0.000 0.000 0.009 Hg
```

Energy of formation = -0.007 eV/atom


The following is a DFT calculation (PBE-GGA) of crystalline Tl5Hg7 at its relaxed geometry.

POSCAR file:
```
Tl5Hg7
1.0
3.656 0.000 0.577
1.455 7.989 2.656
-0.028 0.494 12.059
Hg Tl
7 5
Direct
0.500 0.500 0.500 Hg
0.334 0.344 0.987 Hg
0.919 0.416 0.746 Hg
0.422 0.907 0.250 Hg
0.578 0.093 0.750 Hg
0.081 0.584 0.254 Hg
0.666 0.656 0.013 Hg
0.840 0.823 0.496 Tl
0.000 0.000 0.000 Tl
0.160 0.177 0.504 Tl
0.755 0.254 0.236 Tl
0.245 0.746 0.764 Tl
```

Energy of formation = -0.008 eV/atom


The following is a DFT calculation (PBE-GGA) of crystalline TlHg at its relaxed geometry.

POSCAR file:
```
TlHg
1.0
3.602 0.000 0.000
-1.801 3.120 0.000
0.000 0.000 10.381
Hg Tl
2 2
Direct
0.000 0.000 0.008 Hg
0.667 0.333 0.242 Hg
0.667 0.333 0.761 Tl
0.000 0.000 0.489 Tl
```

Energy of formation = 0.016 eV/atom


The following is a DFT calculation (PBE-GGA) of crystalline TlHg at its relaxed geometry.

POSCAR file:
```
TlHg
1.0
-8.734 -0.045 0.374
4.046 -0.453 -7.736
0.044 -5.556 0.348
Hg Tl
6 6
Direct
0.607 0.105 0.250 Hg
0.502 0.607 0.750 Hg
0.105 0.498 0.750 Hg
0.895 0.502 0.250 Hg
0.393 0.895 0.750 Hg
0.498 0.393 0.250 Hg
0.812 0.090 0.750 Tl
0.188 0.910 0.250 Tl
0.090 0.278 0.250 Tl
0.278 0.188 0.750 Tl
0.910 0.722 0.750 Tl
0.722 0.812 0.250 Tl
```

Energy of formation = 0.027 eV/atom


The following is a DFT calculation (PBE-GGA) of crystalline Tl3Hg at its relaxed geometry.

POSCAR file:
```
Tl3Hg
1.0
-1.891 5.413 1.514
-2.214 3.456 4.281
5.239 2.551 2.417
Tl Hg
3 1
Direct
0.500 0.500 0.500 Tl
0.256 0.256 0.243 Tl
0.744 0.744 0.757 Tl
0.000 0.000 0.000 Hg
```

Energy of formation = 0.021 eV/atom


The following is a DFT calculation (PBE-GGA) of crystalline Tl7Hg5 at its relaxed geometry.

POSCAR file:
```
Tl7Hg5
1.0
4.209 0.000 0.000
-2.104 8.020 -0.440
0.000 -4.994 10.740
Tl Hg
7 5
Direct
0.918 0.836 0.246 Tl
0.500 0.000 0.500 Tl
0.595 0.190 0.258 Tl
0.405 0.810 0.742 Tl
0.082 0.164 0.754 Tl
0.666 0.332 0.010 Tl
0.334 0.668 0.990 Tl
0.000 0.000 0.000 Hg
0.741 0.482 0.743 Hg
0.830 0.660 0.494 Hg
0.259 0.518 0.257 Hg
0.170 0.340 0.506 Hg
```

Relative energy among the computed polymorphs = 0.006 eV per atom
Energy of formation = 0.005 eV/atom


The following is a DFT calculation (PBE-GGA) of crystalline Tl2Hg7 at its relaxed geometry.

POSCAR file:
```
Tl2Hg7
1.0
-0.563 -6.108 -0.940
-0.541 -3.847 4.839
-16.216 -1.775 0.754
Hg Tl
14 4
Direct
0.277 0.277 0.170 Hg
0.391 0.391 0.828 Hg
0.609 0.609 0.172 Hg
0.500 0.500 0.500 Hg
0.723 0.723 0.830 Hg
0.385 0.385 0.339 Hg
0.615 0.108 0.661 Hg
0.108 0.615 0.661 Hg
0.500 0.500 0.000 Hg
0.892 0.385 0.339 Hg
0.385 0.892 0.339 Hg
0.615 0.615 0.661 Hg
0.500 0.000 0.000 Hg
0.000 0.500 0.000 Hg
0.846 0.846 0.461 Tl
0.154 0.154 0.539 Tl
0.958 0.958 0.125 Tl
0.042 0.042 0.875 Tl
```

Relative energy among the computed polymorphs = 0.046 eV per atom
Energy of formation = 0.041 eV/atom


The following is a DFT calculation (PBE-GGA) of crystalline Tl7Hg3 at its relaxed geometry.

POSCAR file:
```
Tl7Hg3
1.0
5.475 0.000 -1.680
-0.504 6.346 -1.644
-0.372 0.694 8.552
Tl Hg
7 3
Direct
0.596 0.906 0.192 Tl
0.404 0.094 0.808 Tl
0.393 0.586 0.787 Tl
0.199 0.197 0.398 Tl
0.607 0.414 0.213 Tl
0.801 0.803 0.602 Tl
0.000 0.500 0.000 Tl
0.000 0.000 0.000 Hg
0.800 0.298 0.600 Hg
0.200 0.702 0.400 Hg
```

Relative energy among the computed polymorphs = 0.000 eV per atom
Energy of formation = -0.001 eV/atom


The following is a DFT calculation (PBE-GGA) of crystalline Tl3Hg at its relaxed geometry.

POSCAR file:
```
Tl3Hg
1.0
-0.659 4.579 4.325
-4.137 -1.292 4.592
5.332 -2.017 -2.642
Tl Hg
3 1
Direct
0.582 0.500 0.082 Tl
0.322 0.739 0.584 Tl
0.848 0.261 0.586 Tl
0.081 0.000 0.081 Hg
```

Energy of formation = -0.001 eV/atom


The following is a DFT calculation (PBE-GGA) of crystalline TlHg at its relaxed geometry.

POSCAR file:
```
TlHg
1.0
-0.210 3.338 1.946
-0.755 -4.608 3.975
8.139 1.400 -1.523
Hg Tl
3 3
Direct
0.018 0.035 0.045 Hg
0.372 0.745 0.226 Hg
0.357 0.715 0.722 Hg
0.697 0.393 0.908 Tl
0.696 0.392 0.374 Tl
0.027 0.053 0.559 Tl
```

Energy of formation = -0.005 eV/atom


> The lowest energy of formation belongs to which entry?

number 2